(1)
Tb4GeSe2Br after structural relaxation, computed with PBE.

Lattice parameters (Å, degrees): 7.1209 4.1365 7.2664 90.00 109.09 90.00
Fractional positions:
Tb  0.2348  0.0000  0.2201
Tb  0.2535  0.5000  0.7713
Tb  0.7465  0.5000  0.2287
Tb  0.7652  0.0000  0.7799
Ge  0.5000  0.0000  0.0000
Se  0.0000  0.0000  0.5000
Se  0.0000  0.5000  0.0000
Br  0.5000  0.5000  0.5000

Properties
Its formation energy (no corrections) is -1425 meV per atom.

***

(2)
Tb6Ge2Se3Br after structural relaxation, computed with PBE.

Lattice parameters (Å, degrees): 9.2546 9.2546 8.3478 102.11 102.11 25.81
Fractional positions:
Tb  0.0078  0.0078  0.2768
Tb  0.3239  0.3239  0.8960
Tb  0.3305  0.3305  0.4228
Tb  0.6695  0.6695  0.5772
Tb  0.6761  0.6761  0.1040
Tb  0.9922  0.9922  0.7232
Ge  0.1668  0.1668  0.3324
Ge  0.8332  0.8332  0.6676
Se  0.1600  0.1600  0.8373
Se  0.5000  0.5000  0.5000
Se  0.8400  0.8400  0.1627
Br  0.5000  0.5000  0.0000

Properties
Its formation energy (no corrections) is -1437 meV per atom.

***

(3)
TcGeSe2Br after structural relaxation, computed with PBE.

Lattice parameters (Å, degrees): 4.8331 4.8331 5.2574 90.00 90.00 90.00
Fractional positions:
Tc  0.0000  0.0000  0.0000
Ge  0.5000  0.5000  0.5000
Se  0.0000  0.5000  0.0000
Se  0.5000  0.0000  0.0000
Br  0.0000  0.0000  0.5000

Properties
Its formation energy (no corrections) is 395 meV per atom. The energy above the lowest structure with this stoichiometry comes out at 0 meV per atom.

***

(4)
TcGeSeBr2 after structural relaxation, computed with PBE.

Lattice parameters (Å, degrees): 5.1803 5.1803 4.7660 90.00 90.00 90.00
Fractional positions:
Tc  0.0000  0.0000  0.0000
Ge  0.5000  0.5000  0.5000
Se  0.0000  0.0000  0.5000
Br  0.0000  0.5000  0.0000
Br  0.5000  0.0000  0.0000

Properties
Its formation energy (no corrections) is 404 meV per atom. The energy above the lowest structure with this stoichiometry comes out at 0 meV per atom.

***

(5)
TcGeSe2Br after structural relaxation, computed with PBE.

Lattice parameters (Å, degrees): 5.0570 5.0570 5.1239 90.00 90.00 90.00
Fractional positions:
Tc  0.0000  0.0000  0.0000
Ge  0.5000  0.5000  0.5000
Se  0.0000  0.5000  0.5000
Se  0.5000  0.0000  0.5000
Br  0.5000  0.5000  0.0000

Properties
Its formation energy (no corrections) is 807 meV per atom. The energy above the lowest structure with this stoichiometry comes out at 412 meV per atom.

***

(6)
TcGeSeBr2 after structural relaxation, computed with PBE.

Lattice parameters (Å, degrees): 5.2350 5.2350 5.1944 90.00 90.00 90.00
Fractional positions:
Tc  0.0000  0.0000  0.0000
Ge  0.5000  0.5000  0.5000
Se  0.5000  0.5000  0.0000
Br  0.0000  0.5000  0.5000
Br  0.5000  0.0000  0.5000

Properties
Its formation energy (no corrections) is 704 meV per atom. The energy above the lowest structure with this stoichiometry comes out at 300 meV per atom.

***

(7)
GeTeSe2Br after structural relaxation, computed with PBE.

Lattice parameters (Å, degrees): 5.1513 5.1513 5.0168 90.00 90.00 90.00
Fractional positions:
Ge  0.0000  0.0000  0.0000
Te  0.5000  0.5000  0.5000
Se  0.0000  0.5000  0.0000
Se  0.5000  0.0000  0.0000
Br  0.0000  0.0000  0.5000

Properties
Its formation energy (no corrections) is 317 meV per atom. The energy above the lowest structure with this stoichiometry comes out at 0 meV per atom.

***

(8)
GeTeSe2Br after structural relaxation, computed with PBE.

Lattice parameters (Å, degrees): 5.4517 5.4517 5.3381 90.00 90.00 90.00
Fractional positions:
Ge  0.0000  0.0000  0.0000
Te  0.5000  0.5000  0.5000
Se  0.0000  0.5000  0.5000
Se  0.5000  0.0000  0.5000
Br  0.5000  0.5000  0.0000

Properties
Its formation energy (no corrections) is 474 meV per atom. The energy above the lowest structure with this stoichiometry comes out at 157 meV per atom.

***

- Which value of formation energy (no corrections) does entry 2 give?
  -1437 meV per atom

***

- The highest formation energy (no corrections) belongs to which entry?
  number 5